## Dy3Tl3InS8 (PBE)

Data for Dy3Tl3InS8 after structural relaxation.

The structure belongs to space group R-3m (No. 166, hexagonal axes); the cell edges are 7.9820, 7.9820 and 22.0287 Å and the angles 90.00°, 90.00° and 120.00°. The asymmetric unit holds Dy at (0.0000, 0.5000, 0.0000), Tl at (0.0000, 0.5000, 0.5000), In at (0.0000, 0.0000, 0.0000), S at (0.0000, 0.0000, 0.2657) and S at (0.0075, 0.5038, 0.7331).

As for the uncorrected formation energy: -1218 meV/atom.



## AcGaCu3 (PBE)

Data for AcGaCu3 after structural relaxation.

The structure belongs to space group Pnma (No. 62); the cell edges are 8.9347, 4.3619 and 9.7835 Å and the angles 90.00°, 90.00° and 90.00°. The asymmetric unit holds Ac at (0.1861, 0.2500, 0.0035), Ga at (0.0709, 0.2500, 0.3673), Cu at (0.0789, 0.2500, 0.6412), Cu at (0.1595, 0.7500, 0.2303) and Cu at (0.1598, 0.7500, 0.7754).

The formation energy is -0.18 eV/atom.



## Zr3PtCl (PBE)

Data for Zr3PtCl after structural relaxation.

The structure belongs to space group Pm-3m (No. 221); the cell edges are 4.7113, 4.7113 and 4.7113 Å and the angles 90.00°, 90.00° and 90.00°. The asymmetric unit holds Zr at (0.0000, 0.0000, 0.5000), Pt at (0.5000, 0.5000, 0.5000) and Cl at (0.0000, 0.0000, 0.0000).

As for the uncorrected formation energy: -120 meV/atom.



## K2HfZr (PBE)

Data for K2HfZr after structural relaxation.

The structure belongs to space group Fm-3m (No. 225); the cell edges are 8.0337, 8.0337 and 8.0337 Å and the angles 90.00°, 90.00° and 90.00°. The asymmetric unit holds K at (0.2500, 0.2500, 0.2500), Hf at (0.0000, 0.0000, 0.0000) and Zr at (0.0000, 0.0000, 0.5000).

The formation energy is 1.68 eV/atom.



## Sm4Sb2TeP (PBE)

Data for Sm4Sb2TeP after structural relaxation.

The structure belongs to space group P2/m (No. 10); the cell edges are 7.5630, 4.3623 and 7.6076 Å and the angles 90.00°, 109.23° and 90.00°. The asymmetric unit holds Sm at (0.2354, 0.0000, 0.2311), Sm at (0.2450, 0.5000, 0.7647), Sb at (0.5000, 0.0000, 0.0000), Sb at (0.5000, 0.5000, 0.5000), Te at (0.0000, 0.0000, 0.5000) and P at (0.0000, 0.5000, 0.0000).

As for the uncorrected formation energy: -1333 meV/atom.



## SmYTmIn (PBE)

Data for SmYTmIn after structural relaxation.

The structure belongs to space group F-43m (No. 216); the cell edges are 7.7372, 7.7372 and 7.7372 Å and the angles 90.00°, 90.00° and 90.00°. The asymmetric unit holds Sm at (0.0000, 0.0000, 0.0000), Y at (0.2500, 0.2500, 0.2500), Tm at (0.0000, 0.0000, 0.5000) and In at (0.2500, 0.2500, 0.7500).

The formation energy is -0.11 eV/atom.



## KCu3F6 (PBE)

Data for KCu3F6 after structural relaxation.

The structure belongs to space group P1 (No. 1); the cell edges are 5.5820, 5.5898 and 5.6961 Å and the angles 62.23°, 67.77° and 63.64°. The asymmetric unit holds K at (0.0000, 0.0000, 0.0000), Cu at (0.2256, 0.2211, 0.3073), Cu at (0.5451, 0.5142, 0.3942), Cu at (0.7212, 0.7595, 0.7881), F at (0.0622, 0.9242, 0.5256), F at (0.3909, 0.5189, 0.1298), F at (0.4657, 0.1276, 0.5839), F at (0.5431, 0.9150, 0.1098), F at (0.7601, 0.5156, 0.5926) and F at (0.9677, 0.4495, 0.0410).

As for the uncorrected formation energy: -1695 meV/atom.



## LaIn2BiO (PBE)

Data for LaIn2BiO after structural relaxation.

The structure belongs to space group P4/mmm (No. 123); the cell edges are 4.9303, 4.9303 and 5.0436 Å and the angles 90.00°, 90.00° and 90.00°. The asymmetric unit holds La at (0.0000, 0.0000, 0.0000), In at (0.0000, 0.5000, 0.5000), Bi at (0.5000, 0.5000, 0.0000) and O at (0.5000, 0.5000, 0.5000).

As for the uncorrected formation energy: -590 meV/atom.



## PrSmEuCd (PBE)

Data for PrSmEuCd after structural relaxation.

The structure belongs to space group F-43m (No. 216); the cell edges are 7.9646, 7.9646 and 7.9646 Å and the angles 90.00°, 90.00° and 90.00°. The asymmetric unit holds Pr at (0.0000, 0.0000, 0.0000), Sm at (0.0000, 0.0000, 0.5000), Eu at (0.2500, 0.2500, 0.7500) and Cd at (0.2500, 0.2500, 0.2500).

The formation energy is -0.04 eV/atom.



## Ca8Tl2Cd (PBE)

Data for Ca8Tl2Cd after structural relaxation.

The structure belongs to space group C2/m (No. 12); the cell edges are 19.0451, 5.4333 and 7.6767 Å and the angles 90.00°, 110.38° and 90.00°. The asymmetric unit holds Ca at (0.0268, 0.0000, 0.2817), Ca at (0.0982, 0.5000, 0.9536), Ca at (0.1673, 0.5000, 0.4539), Ca at (0.1980, 0.0000, 0.7960), Tl at (0.1806, 0.0000, 0.1957) and Cd at (0.0000, 0.5000, 0.5000).

The formation energy is -0.27 eV/atom.



## Tm2In8Ni (PBE)

Data for Tm2In8Ni after structural relaxation.

The structure belongs to space group P4/mmm (No. 123); the cell edges are 4.6188, 4.6188 and 12.0592 Å and the angles 90.00°, 90.00° and 90.00°. The asymmetric unit holds Tm at (0.0000, 0.0000, 0.1920), In at (0.0000, 0.5000, 0.0000), In at (0.0000, 0.5000, 0.3777), In at (0.5000, 0.5000, 0.1929) and Ni at (0.0000, 0.0000, 0.5000).

The formation energy is -0.29 eV/atom.



Question: Number 8 is which compound?
Answer: LaIn2BiO